## LaZnPt (GGA-PBE)

Data for a geometry-optimized LaZnPt structure.

abc: 4.7501 4.7501 4.7501
angles: 60.00 60.00 60.00
With the nearest neighbours (Å) after each atom.
Fractional coordinates of all 3 atoms:
La1 0.0000 0.0000 0.0000  4 Pt 2.91
Zn1 0.5000 0.5000 0.5000  4 Pt 2.91
Pt1 0.2500 0.2500 0.2500  4 La 2.91, 4 Zn 2.91

Results
**Crystal system**: cubic
**Formation energy from the elements**: -72.33 kJ/mol of atoms
**SG**: F-43m

---

## Na2NiH6Au (GGA-PBE)

Data for a geometry-optimized Na2NiH6Au structure.

abc: 5.0365 5.0365 5.0365
angles: 60.00 60.00 60.00
With the nearest neighbours (Å) after each atom.
Fractional coordinates of all 10 atoms:
Na1 0.2500 0.2500 0.2500  12 H 2.52
Na2 0.7500 0.7500 0.7500  12 H 2.52
Ni1 0.0000 0.0000 0.0000  6 H 1.62
H1 0.2279 0.2279 0.7721  1 Ni 1.62
H2 0.2279 0.7721 0.2279  1 Ni 1.62
H3 0.2279 0.7721 0.7721  1 Ni 1.62
H4 0.7721 0.2279 0.2279  1 Ni 1.62
H5 0.7721 0.2279 0.7721  1 Ni 1.62
H6 0.7721 0.7721 0.2279  1 Ni 1.62
Au1 0.5000 0.5000 0.5000  6 H 1.94

Results
**Crystal system**: cubic
**SG**: Fm-3m

---

## ScFeGe (GGA-PBE)

Data for a geometry-optimized ScFeGe structure.

abc: 4.3956 4.3956 4.3956
angles: 60.00 60.00 60.00
With the nearest neighbours (Å) after each atom.
Fractional coordinates of all 3 atoms:
Sc1 0.0000 0.0000 0.0000  4 Fe 2.69, 4 Ge 2.69
Fe1 0.7500 0.7500 0.7500  4 Sc 2.69
Ge1 0.2500 0.2500 0.2500  4 Sc 2.69

Results
**Crystal system**: cubic
**SG**: F-43m

---

## PrNdIn4Pd2 (GGA-PBE)

Data for a geometry-optimized PrNdIn4Pd2 structure.

abc: 7.6029 5.8237 5.8237
angles: 46.39 90.00 90.00
With the nearest neighbours (Å) after each atom.
Fractional coordinates of all 8 atoms:
Pr1 0.0000 0.0000 0.0000  3 Pd 3.06-3.24, 4 In 3.31
Nd1 0.5000 0.8490 0.8490  3 Pd 3.06-3.24, 6 In 3.30-3.42
In1 0.2003 0.2868 0.2868  3 Pd 2.80-2.86, 2 In 3.05
In2 0.3010 0.5628 0.5628  3 Pd 2.81-2.85, 2 In 3.03-3.05
In3 0.6990 0.5628 0.5628  3 Pd 2.81-2.85, 2 In 3.03-3.05
In4 0.7997 0.2868 0.2868  3 Pd 2.80-2.86, 2 In 3.05
Pd1 0.0000 0.7143 0.7143  6 In 2.81-2.86, 1 Pr 3.06
Pd2 0.5000 0.1348 0.1348  6 In 2.80-2.85, 1 Nd 3.06

Results
**Crystal system**: orthorhombic
**SG**: Amm2

---

## NpGe (GGA-PBE)

Data for a geometry-optimized NpGe structure.

abc: 4.5773 4.5773 4.5773
angles: 60.00 60.00 60.00
With the nearest neighbours (Å) after each atom.
Fractional coordinates of all 2 atoms:
Np1 0.0000 0.0000 0.0000  4 Ge 2.80
Ge1 0.2500 0.2500 0.2500  4 Np 2.80

Results
**Crystal system**: cubic
**SG**: F-43m

---

## GdAs (GGA-PBE)

Data for a geometry-optimized GdAs structure.

abc: 4.6091 4.6091 4.6091
angles: 60.00 60.00 60.00
With the nearest neighbours (Å) after each atom.
Fractional coordinates of all 2 atoms:
Gd1 0.0000 0.0000 0.0000  4 As 2.82
As1 0.2500 0.2500 0.2500  4 Gd 2.82

Results
**Crystal system**: cubic
**SG**: F-43m

---

## KP2OsO8 (GGA-PBE)

Data for a geometry-optimized KP2OsO8 structure.

abc: 4.6868 4.6868 8.0385
angles: 90.00 90.00 120.00
With the nearest neighbours (Å) after each atom.
Fractional coordinates of all 12 atoms:
K1 0.0000 0.0000 0.0000  6 O 2.81
P1 0.3333 0.6667 0.7208  4 O 1.48-1.57
P2 0.6667 0.3333 0.2792  4 O 1.48-1.57
Os1 0.0000 0.0000 0.5000  6 O 1.95
O1 0.0337 0.3466 0.6477  1 P 1.57
O2 0.3129 0.9663 0.6477  1 P 1.57
O3 0.3333 0.6667 0.9055  1 P 1.48
O4 0.3466 0.3129 0.3523  1 P 1.57
O5 0.6534 0.6871 0.6477  1 P 1.57
O6 0.6667 0.3333 0.0945  1 P 1.48
O7 0.6871 0.0337 0.3523  1 P 1.57
O8 0.9663 0.6534 0.3523  1 P 1.57

Results
**Crystal system**: trigonal
**SG**: P-3

---

## SrNdAgS3 (GGA-PBE)

Data for a geometry-optimized SrNdAgS3 structure.

abc: 7.6811 4.1016 9.8199
angles: 90.00 105.03 90.00
With the nearest neighbours (Å) after each atom.
Fractional coordinates of all 12 atoms:
Sr1 0.2309 0.2500 0.1999  7 S 3.05-3.35, 1 Ag 3.40
Sr2 0.7691 0.7500 0.8001  7 S 3.05-3.35, 1 Ag 3.40
Nd1 0.2040 0.7500 0.6524  6 S 2.82-2.95
Nd2 0.7960 0.2500 0.3476  6 S 2.82-2.95
Ag1 0.3988 0.2500 0.9114  3 S 2.53-2.60
Ag2 0.6012 0.7500 0.0886  3 S 2.53-2.60
S1 0.0616 0.7500 0.3568  3 Nd 2.82-2.88, 2 Sr 3.05
S2 0.2130 0.7500 0.9550  2 Ag 2.60
S3 0.4622 0.2500 0.6711  1 Ag 2.53, 2 Nd 2.83
S4 0.5378 0.7500 0.3289  1 Ag 2.53, 2 Nd 2.83
S5 0.7870 0.2500 0.0450  2 Ag 2.60
S6 0.9384 0.2500 0.6432  3 Nd 2.82-2.88, 2 Sr 3.05

Results
**Crystal system**: monoclinic
**SG**: P2_1/m

---

Number 1: energy -14.5 eV for the cell shown. Number 2: energy -33.0 eV for the cell shown. Number 3: energy -18.0 eV for the cell shown. Number 4: energy -36.1 eV for the cell shown. Number 5: energy -15.6 eV for the cell shown. Number 6: energy -11.3 eV for the cell shown. Number 7: energy -84.1 eV for the cell shown. Number 8: energy -62.2 eV for the cell shown.